VASP calculation (GGA-PBE) on Na2MgNiS after structural relaxation.

Unit cell a=6.0236 b=4.4684 c=6.0236 alpha=90.00 beta=90.00 gamma=90.00
Last column: nearest neighbours and their distance in Å.
Sites, in units of the cell vectors:
Ni: 0.5000 0.5000 0.5000  8 Na 3.75
S: 0.0000 0.5000 0.0000  2 Mg 2.23
Mg: 0.0000 0.0000 0.0000  2 S 2.23
Na: 0.0000 0.0000 0.5000  2 Mg 3.01
Na: 0.5000 0.0000 0.0000  2 Mg 3.01

Summary:
The crystal system is tetragonal. Its symmetry is No. 123. The calculation puts the calculated total energy at -2.3054 eV/atom. The volume is 32.426 Å³ per atom. For the size of the total moment, the calculation gives 0.707 μB per formula unit.